# 1
{
  "formula": "ZrSNF2",
  "functional": "PBE",
  "state": "relaxed",
  "space_group": "P4/mmm, No. 123",
  "polymorph_energy_ev_per_atom": 1.1233,
  "raw_formation_energy_ev_per_atom": -0.13,
  "vol_a3_per_cell": 73.1,
  "lattice_angstrom": [[4.7237, 0.0000, 0.0000], [0.0000, 4.7237, 0.0000], [0.0000, 0.0000, 3.2745]],
  "species": ["S", "N", "Zr", "F", "F"],
  "fractional_positions": [[0.0000, 0.0000, 0.0000], [0.0000, 0.0000, 0.5000], [0.5000, 0.5000, 0.5000], [0.0000, 0.5000, 0.0000], [0.5000, 0.0000, 0.0000]]
}

# 2
{
  "formula": "ZrSN2F",
  "functional": "PBE",
  "state": "relaxed",
  "space_group": "P4/mmm, No. 123",
  "polymorph_energy_ev_per_atom": 0.5551,
  "raw_formation_energy_ev_per_atom": 0.59,
  "vol_a3_per_cell": 95.3,
  "lattice_angstrom": [[4.2623, 0.0000, 0.0000], [0.0000, 4.2623, 0.0000], [0.0000, 0.0000, 5.2479]],
  "species": ["S", "N", "N", "Zr", "F"],
  "fractional_positions": [[0.0000, 0.0000, 0.5000], [0.0000, 0.5000, 0.0000], [0.5000, 0.0000, 0.0000], [0.0000, 0.0000, 0.0000], [0.5000, 0.5000, 0.5000]]
}

# 3
{
  "formula": "ZrSN2F",
  "functional": "PBE",
  "state": "relaxed",
  "space_group": "P4/mmm, No. 123",
  "polymorph_energy_ev_per_atom": 0.0000,
  "raw_formation_energy_ev_per_atom": 0.04,
  "vol_a3_per_cell": 76.2,
  "lattice_angstrom": [[-4.0149, 1.6109, 0.1084], [0.0862, -0.0764, 4.3258], [1.5151, 3.7739, 0.0365]],
  "species": ["S", "N", "N", "Zr", "F"],
  "fractional_positions": [[0.5000, 0.5000, 0.5000], [0.0000, 0.5000, 0.0000], [0.5000, 0.0000, 0.0000], [0.0000, 0.0000, 0.0000], [0.0000, 0.0000, 0.5000]]
}

# 4
{
  "formula": "ZrSNF2",
  "functional": "PBE",
  "state": "relaxed",
  "space_group": "P4/mmm, No. 123",
  "polymorph_energy_ev_per_atom": 0.0000,
  "raw_formation_energy_ev_per_atom": -1.26,
  "vol_a3_per_cell": 74.9,
  "lattice_angstrom": [[4.0999, 0.0000, 0.0000], [0.0000, 4.0999, 0.0000], [0.0000, 0.0000, 4.4580]],
  "species": ["S", "N", "Zr", "F", "F"],
  "fractional_positions": [[0.5000, 0.5000, 0.5000], [0.0000, 0.0000, 0.5000], [0.0000, 0.0000, 0.0000], [0.0000, 0.5000, 0.0000], [0.5000, 0.0000, 0.0000]]
}

# 5
{
  "formula": "ZrS2NF",
  "functional": "PBE",
  "state": "relaxed",
  "space_group": "P4/mmm, No. 123",
  "polymorph_energy_ev_per_atom": 0.4888,
  "raw_formation_energy_ev_per_atom": 0.58,
  "vol_a3_per_cell": 71.3,
  "lattice_angstrom": [[4.3144, 0.0000, 0.0000], [0.0000, 4.3144, 0.0000], [0.0000, 0.0000, 3.8319]],
  "species": ["S", "S", "N", "Zr", "F"],
  "fractional_positions": [[0.0000, 0.5000, 0.0000], [0.5000, 0.0000, 0.0000], [0.0000, 0.0000, 0.5000], [0.5000, 0.5000, 0.5000], [0.0000, 0.0000, 0.0000]]
}

# 6
{
  "formula": "ZrSN2F",
  "functional": "PBE",
  "state": "relaxed",
  "space_group": "P4/mmm, No. 123",
  "polymorph_energy_ev_per_atom": 0.9616,
  "raw_formation_energy_ev_per_atom": 1.00,
  "vol_a3_per_cell": 59.8,
  "lattice_angstrom": [[3.9869, 0.0000, 0.0000], [0.0000, 3.9869, 0.0000], [0.0000, 0.0000, 3.7602]],
  "species": ["S", "N", "N", "Zr", "F"],
  "fractional_positions": [[0.0000, 0.0000, 0.5000], [0.0000, 0.5000, 0.0000], [0.5000, 0.0000, 0.0000], [0.5000, 0.5000, 0.5000], [0.0000, 0.0000, 0.0000]]
}

# 7
{
  "formula": "ZrSN2F",
  "functional": "PBE",
  "state": "relaxed",
  "space_group": "P4/mmm, No. 123",
  "polymorph_energy_ev_per_atom": 0.3628,
  "raw_formation_energy_ev_per_atom": 0.40,
  "vol_a3_per_cell": 56.3,
  "lattice_angstrom": [[3.8251, 0.0000, 0.0000], [0.0000, 3.8251, 0.0000], [0.0000, 0.0000, 3.8492]],
  "species": ["S", "N", "N", "Zr", "F"],
  "fractional_positions": [[0.0000, 0.0000, 0.0000], [0.0000, 0.5000, 0.0000], [0.5000, 0.0000, 0.0000], [0.5000, 0.5000, 0.5000], [0.0000, 0.0000, 0.5000]]
}

# 8
{
  "formula": "SbNF2",
  "functional": "PBE",
  "state": "relaxed",
  "space_group": "R-3m, No. 166",
  "polymorph_energy_ev_per_atom": 1.2836,
  "raw_formation_energy_ev_per_atom": 0.38,
  "vol_a3_per_cell": 65.7,
  "lattice_angstrom": [[-4.4174, 2.2874, 5.8304], [-5.5227, -0.6560, 5.2734], [-2.9230, -0.2422, 7.0807]],
  "species": ["Sb", "N", "F", "F"],
  "fractional_positions": [[0.5000, 0.5000, 0.5000], [0.0000, 0.0000, 0.0000], [0.9178, 0.9178, 0.9178], [0.0822, 0.0822, 0.0822]]
}

# 9
{
  "formula": "SbN2F",
  "functional": "PBE",
  "state": "relaxed",
  "space_group": "R-3m, No. 166",
  "polymorph_energy_ev_per_atom": 0.0000,
  "raw_formation_energy_ev_per_atom": 0.64,
  "vol_a3_per_cell": 54.0,
  "lattice_angstrom": [[1.9031, 0.0000, 5.7376], [-0.9516, 1.6482, 5.7376], [-0.9516, -1.6482, 5.7376]],
  "species": ["Sb", "N", "N", "F"],
  "fractional_positions": [[0.5000, 0.5000, 0.5000], [0.8933, 0.8933, 0.8933], [0.1067, 0.1067, 0.1067], [0.0000, 0.0000, 0.0000]]
}

# 10
{
  "formula": "SbN2F2",
  "functional": "PBE",
  "state": "relaxed",
  "space_group": "P4/mmm, No. 123",
  "polymorph_energy_ev_per_atom": 0.8115,
  "raw_formation_energy_ev_per_atom": 1.24,
  "vol_a3_per_cell": 57.4,
  "lattice_angstrom": [[3.6373, 0.0000, 0.0000], [0.0000, 3.6373, 0.0000], [0.0000, 0.0000, 4.3418]],
  "species": ["Sb", "N", "N", "F", "F"],
  "fractional_positions": [[0.5000, 0.5000, 0.5000], [0.0000, 0.5000, 0.0000], [0.5000, 0.0000, 0.0000], [0.0000, 0.0000, 0.0000], [0.0000, 0.0000, 0.5000]]
}

# 11
{
  "formula": "SbNF2",
  "functional": "PBE",
  "state": "relaxed",
  "space_group": "R-3m, No. 166",
  "polymorph_energy_ev_per_atom": 1.1248,
  "raw_formation_energy_ev_per_atom": 0.22,
  "vol_a3_per_cell": 80.7,
  "lattice_angstrom": [[-6.1247, 0.8305, 6.1376], [-6.3372, -2.4066, 5.4699], [-4.0536, -1.3013, 7.5991]],
  "species": ["Sb", "N", "F", "F"],
  "fractional_positions": [[0.0000, 0.0000, 0.0000], [0.5000, 0.5000, 0.5000], [0.9221, 0.9221, 0.9221], [0.0779, 0.0779, 0.0779]]
}

# 12
{
  "formula": "SbN2F2",
  "functional": "PBE",
  "state": "relaxed",
  "space_group": "P4/mmm, No. 123",
  "polymorph_energy_ev_per_atom": 0.0556,
  "raw_formation_energy_ev_per_atom": 0.48,
  "vol_a3_per_cell": 71.4,
  "lattice_angstrom": [[4.2859, 0.0000, 0.0000], [0.0000, 4.2859, 0.0000], [0.0000, 0.0000, 3.8847]],
  "species": ["Sb", "N", "N", "F", "F"],
  "fractional_positions": [[0.0000, 0.0000, 0.0000], [0.5000, 0.5000, 0.5000], [0.0000, 0.0000, 0.5000], [0.0000, 0.5000, 0.0000], [0.5000, 0.0000, 0.0000]]
}

# 13
{
  "formula": "SbNF2",
  "functional": "PBE",
  "state": "relaxed",
  "space_group": "I-42d, No. 122",
  "polymorph_energy_ev_per_atom": 0.6084,
  "raw_formation_energy_ev_per_atom": -0.29,
  "vol_a3_per_cell": 94.7,
  "lattice_angstrom": [[3.4731, 0.0000, 0.0000], [0.0000, 3.4731, 0.0000], [1.7365, 1.7365, 7.8537]],
  "species": ["Sb", "Sb", "N", "N", "F", "F", "F", "F"],
  "fractional_positions": [[0.0000, 0.0000, 0.0000], [0.7500, 0.2500, 0.5000], [0.5000, 0.5000, 0.0000], [0.2500, 0.7500, 0.5000], [0.6486, 0.1250, 0.2500], [0.1014, 0.6250, 0.2500], [0.3750, 0.3514, 0.7500], [0.8750, 0.8986, 0.7500]]
}

# 14
{
  "formula": "SbN2F",
  "functional": "PBE",
  "state": "relaxed",
  "space_group": "Fm-3m, No. 225",
  "polymorph_energy_ev_per_atom": 0.4651,
  "raw_formation_energy_ev_per_atom": 1.11,
  "vol_a3_per_cell": 40.8,
  "lattice_angstrom": [[0.0000, 2.7319, 2.7319], [2.7319, 0.0000, 2.7319], [2.7319, 2.7319, 0.0000]],
  "species": ["Sb", "N", "N", "F"],
  "fractional_positions": [[0.5000, 0.5000, 0.5000], [0.2500, 0.2500, 0.2500], [0.7500, 0.7500, 0.7500], [0.0000, 0.0000, 0.0000]]
}

# 15
{
  "formula": "Sb2N2F",
  "functional": "PBE",
  "state": "relaxed",
  "space_group": "I4/mmm, No. 139",
  "polymorph_energy_ev_per_atom": 0.0000,
  "raw_formation_energy_ev_per_atom": -0.15,
  "vol_a3_per_cell": 76.4,
  "lattice_angstrom": [[-2.6129, -1.6147, -2.2765], [0.5964, -3.3694, 1.7054], [-4.7343, -1.3845, 3.2056]],
  "species": ["Sb", "Sb", "N", "N", "F"],
  "fractional_positions": [[0.3489, 0.3489, 0.3022], [0.6511, 0.6511, 0.6978], [0.7500, 0.2500, 0.5000], [0.2500, 0.7500, 0.5000], [0.0000, 0.0000, 0.0000]]
}

# 16
{
  "formula": "Sb2NF",
  "functional": "PBE",
  "state": "relaxed",
  "space_group": "I-42d, No. 122",
  "polymorph_energy_ev_per_atom": 0.0000,
  "raw_formation_energy_ev_per_atom": -0.09,
  "vol_a3_per_cell": 163.1,
  "lattice_angstrom": [[-2.7489, -0.2598, -4.0799], [-3.3127, -2.7394, 2.4064], [-6.2991, 4.0753, 1.0103]],
  "species": ["Sb", "Sb", "Sb", "Sb", "N", "N", "F", "F"],
  "fractional_positions": [[0.5577, 0.1250, 0.2500], [0.1923, 0.6250, 0.2500], [0.3750, 0.4423, 0.7500], [0.8750, 0.8077, 0.7500], [0.5000, 0.5000, 0.0000], [0.2500, 0.7500, 0.5000], [0.0000, 0.0000, 0.0000], [0.7500, 0.2500, 0.5000]]
}

# 17
{
  "formula": "Sb2N2F",
  "functional": "PBE",
  "state": "relaxed",
  "space_group": "P4/mbm, No. 127",
  "polymorph_energy_ev_per_atom": 0.2857,
  "raw_formation_energy_ev_per_atom": 0.13,
  "vol_a3_per_cell": 150.2,
  "lattice_angstrom": [[6.8633, 0.0000, 0.0000], [0.0000, 6.8633, 0.0000], [0.0000, 0.0000, 3.1881]],
  "species": ["Sb", "Sb", "Sb", "Sb", "N", "N", "N", "N", "F", "F"],
  "fractional_positions": [[0.3109, 0.8109, 0.0000], [0.8109, 0.6891, 0.0000], [0.6891, 0.1891, 0.0000], [0.1891, 0.3109, 0.0000], [0.1746, 0.6746, 0.5000], [0.6746, 0.8254, 0.5000], [0.8254, 0.3254, 0.5000], [0.3254, 0.1746, 0.5000], [0.0000, 0.0000, 0.0000], [0.5000, 0.5000, 0.0000]]
}

# 18
{
  "formula": "Sb2NF",
  "functional": "PBE",
  "state": "relaxed",
  "space_group": "Fm-3m, No. 225",
  "polymorph_energy_ev_per_atom": 0.3823,
  "raw_formation_energy_ev_per_atom": 0.29,
  "vol_a3_per_cell": 64.7,
  "lattice_angstrom": [[0.0000, 3.1861, 3.1861], [3.1861, 0.0000, 3.1861], [3.1861, 3.1861, 0.0000]],
  "species": ["Sb", "Sb", "N", "F"],
  "fractional_positions": [[0.2500, 0.2500, 0.2500], [0.7500, 0.7500, 0.7500], [0.0000, 0.0000, 0.0000], [0.5000, 0.5000, 0.5000]]
}

# 19
{
  "formula": "Sb3NF",
  "functional": "PBE",
  "state": "relaxed",
  "space_group": "Pm-3m, No. 221",
  "polymorph_energy_ev_per_atom": 0.0000,
  "raw_formation_energy_ev_per_atom": 0.32,
  "vol_a3_per_cell": 106.1,
  "lattice_angstrom": [[4.7338, 0.0000, 0.0000], [0.0000, 4.7338, 0.0000], [0.0000, 0.0000, 4.7338]],
  "species": ["Sb", "Sb", "Sb", "N", "F"],
  "fractional_positions": [[0.0000, 0.5000, 0.0000], [0.0000, 0.0000, 0.5000], [0.5000, 0.0000, 0.0000], [0.0000, 0.0000, 0.0000], [0.5000, 0.5000, 0.5000]]
}

# 20
{
  "formula": "SbNF3",
  "functional": "PBE",
  "state": "relaxed",
  "space_group": "Pm-3m, No. 221",
  "polymorph_energy_ev_per_atom": 2.1133,
  "raw_formation_energy_ev_per_atom": 0.28,
  "vol_a3_per_cell": 64.7,
  "lattice_angstrom": [[4.0150, 0.0000, 0.0000], [0.0000, 4.0150, 0.0000], [0.0000, 0.0000, 4.0150]],
  "species": ["Sb", "N", "F", "F", "F"],
  "fractional_positions": [[0.5000, 0.5000, 0.5000], [0.0000, 0.0000, 0.0000], [0.0000, 0.5000, 0.0000], [0.0000, 0.0000, 0.5000], [0.5000, 0.0000, 0.0000]]
}

| no. | total energy (eV per atom) | DOS at the Fermi energy (states/eV/cell) |
| --- | --- | --- |
| 1 | -5.08 | 3.82 |
| 2 | -5.65 | 5.42 |
| 3 | -6.20 | 3.61 |
| 4 | -6.21 | 3.55 |
| 5 | -4.82 | 2.39 |
| 6 | -5.24 | 2.31 |
| 7 | -5.84 | 2.27 |
| 8 | -3.67 | 2.10 |
| 9 | -5.02 | 1.13 |
| 10 | -3.67 | 1.08 |
| 11 | -3.82 | 2.03 |
| 12 | -4.42 | 2.64 |
| 13 | -4.34 | 3.07 |
| 14 | -4.55 | 3.86 |
| 15 | -5.51 | 1.29 |
| 16 | -4.70 | 0.30 |
| 17 | -5.22 | 2.80 |
| 18 | -4.32 | 2.45 |
| 19 | -4.20 | 2.80 |
| 20 | -3.34 | 2.43 |